# 1
TmH6Ir | PBE-GGA | relaxed

Summary:
Its density of states at the Fermi level is 0.000 states/eV/f.u. The final energy is -36.9 eV/cell.

POSCAR file:
```
TmH6Ir
1.0
3.8805 0.0000 2.0273
1.4106 3.6150 2.0273
0.0686 0.0469 4.5962
Ir Tm H
1 1 6
Direct
0.0000 0.0000 0.0000
0.5000 0.5000 0.5000
0.1021 0.1021 0.2399
0.4442 0.8979 0.7601
0.8979 0.8979 0.7601
0.5558 0.1021 0.2399
0.8979 0.4442 0.7601
0.1021 0.5558 0.2399
```

***

# 2
TmH8Ir2 | PBE-GGA | relaxed

Summary:
Its density of states at the Fermi level is 4.234 states/eV/f.u. The final energy is -50.1 eV/cell.

POSCAR file:
```
TmH8Ir2
1.0
4.4486 0.0000 0.0000
0.0000 4.4486 0.0000
0.0000 0.0000 4.5482
H Tm Ir
8 1 2
Direct
0.2199 0.7801 0.7965
0.7801 0.2199 0.7965
0.2199 0.7801 0.2035
0.7801 0.2199 0.2035
0.2199 0.2199 0.7965
0.2199 0.2199 0.2035
0.7801 0.7801 0.7965
0.7801 0.7801 0.2035
0.5000 0.5000 0.5000
0.5000 0.0000 0.0000
0.0000 0.5000 0.0000
```